Entry 1:
Entry from the Alexandria database: a relaxed V4Sn crystal (PBE).

Calculated values
Fermi-level density of states: 14.91 states/eV/cell
space group: Pm-3m (221)
calculated total energy: -31.46 eV for the cell shown
density: 4.41 g/cm³

Cell and atoms, written as extended XYZ:
```
5
Lattice="4.951 0.000 0.000 0.000 4.951 0.000 0.000 0.000 4.951" Properties=species:S:1:pos:R:3 pbc="T T T"
V 0.000 0.000 0.000
V 0.000 2.475 2.475
V 2.475 0.000 2.475
V 2.475 2.475 0.000
Sn 2.475 2.475 2.475
```

=====

Entry 2:
Entry from the Alexandria database: a relaxed V11Sn3 crystal (PBE).

Calculated values
Fermi-level density of states: 14.06 states/eV/cell
space group: Immm (71)
calculated total energy: -107.53 eV for the cell shown
density: 6.80 g/cm³

Cell and atoms, written as extended XYZ:
```
14
Lattice="-2.185 4.041 6.342 2.185 -4.041 6.342 2.185 4.041 -6.342" Properties=species:S:1:pos:R:3 pbc="T T T"
V 0.000 0.000 0.000
V 2.185 -2.445 4.711
V 2.185 2.764 -2.225
V 2.185 1.729 0.000
V 0.000 1.595 1.631
V 0.000 1.277 4.116
V 2.185 2.764 2.225
V 2.185 2.445 4.711
V 0.000 2.312 6.342
V 0.000 1.277 8.567
V 0.000 6.486 1.631
Sn 2.185 0.000 2.581
Sn 0.000 4.041 0.000
Sn 0.000 4.041 3.760
```

=====

Entry 3:
Entry from the Alexandria database: a relaxed V13Sn2 crystal (PBE).

Calculated values
Fermi-level density of states: 24.08 states/eV/cell
space group: R-3m (166)
calculated total energy: -117.37 eV for the cell shown
density: 5.59 g/cm³

Cell and atoms, written as extended XYZ:
```
15
Lattice="3.388 1.956 6.724 -3.388 1.956 6.724 0.000 -3.912 6.724" Properties=species:S:1:pos:R:3 pbc="T T T"
V 0.000 0.000 0.000
V 0.000 -1.442 5.135
V -1.249 0.721 5.135
V 0.000 -1.529 7.537
V -1.325 0.765 7.537
V -1.325 -0.765 12.634
V 1.249 0.721 5.135
V -1.249 -0.721 15.036
V 1.325 0.765 7.537
V 1.325 -0.765 12.634
V 0.000 1.529 12.634
V 1.249 -0.721 15.036
V 0.000 1.442 15.036
Sn 0.000 0.000 2.778
Sn 0.000 0.000 17.393
```

=====

Entry 4:
Entry from the Alexandria database: a relaxed V4Sn crystal (PBE).

Calculated values
Fermi-level density of states: 11.02 states/eV/cell
space group: P2_1/c (14)
calculated total energy: -78.35 eV for the cell shown
density: 6.40 g/cm³

Cell and atoms, written as extended XYZ:
```
10
Lattice="7.068 0.000 0.000 0.000 3.983 0.000 -0.015 0.000 5.947" Properties=species:S:1:pos:R:3 pbc="T T T"
V 0.943 0.984 0.003
V 0.935 1.008 2.977
V 1.206 2.987 1.490
V 1.199 2.988 4.464
V 5.854 0.996 1.483
V 5.847 0.996 4.457
V 6.118 2.975 2.970
V 6.110 3.000 5.943
Sn 3.526 0.000 2.973
Sn 3.534 1.992 0.000
```

=====

Entry 5:
Entry from the Alexandria database: a relaxed V8Sn crystal (PBE).

Calculated values
Fermi-level density of states: 12.15 states/eV/cell
space group: I4/mmm (139)
calculated total energy: -75.89 eV for the cell shown
density: 6.68 g/cm³

Cell and atoms, written as extended XYZ:
```
9
Lattice="-3.841 3.841 2.215 3.841 -3.841 2.215 3.841 3.841 -2.215" Properties=species:S:1:pos:R:3 pbc="T T T"
V 2.632 0.000 0.000
V 5.051 0.000 0.000
V 2.557 2.557 0.000
V 1.284 -1.284 2.215
V 0.000 2.632 0.000
V 0.000 5.051 0.000
V -1.284 1.284 2.215
V 1.284 1.284 2.215
Sn 0.000 0.000 0.000
```

=====

Entry 6:
Entry from the Alexandria database: a relaxed VSn4 crystal (PBE).

Calculated values
Fermi-level density of states: 3.85 states/eV/cell
space group: I-42m (121)
calculated total energy: -24.84 eV for the cell shown
density: 7.16 g/cm³

Cell and atoms, written as extended XYZ:
```
5
Lattice="-3.051 3.051 3.275 3.051 -3.051 3.275 3.051 3.051 -3.275" Properties=species:S:1:pos:R:3 pbc="T T T"
V 0.000 0.000 0.000
Sn 1.764 1.764 -1.169
Sn 1.288 -1.288 4.444
Sn 1.288 1.288 2.106
Sn -1.288 1.288 4.444
```

=====

Entry 7:
Entry from the Alexandria database: a relaxed V7Sn crystal (PBE).

Calculated values
Fermi-level density of states: 11.99 states/eV/cell
space group: I4/mmm (139)
calculated total energy: -67.99 eV for the cell shown
density: 6.83 g/cm³

Cell and atoms, written as extended XYZ:
```
8
Lattice="-2.158 2.158 6.204 2.158 -2.158 6.204 2.158 2.158 -6.204" Properties=species:S:1:pos:R:3 pbc="T T T"
V 0.000 0.000 0.000
V 2.158 0.000 1.708
V 0.000 0.000 3.075
V 2.158 0.000 4.496
V 0.000 2.158 1.708
V 0.000 0.000 9.332
V 0.000 2.158 4.496
Sn 0.000 0.000 6.204
```

=====

Entry 8:
Entry from the Alexandria database: a relaxed V5Sn crystal (PBE).

Calculated values
Fermi-level density of states: 5.75 states/eV/cell
space group: Cmmm (65)
calculated total energy: -49.74 eV for the cell shown
density: 7.03 g/cm³

Cell and atoms, written as extended XYZ:
```
6
Lattice="2.191 -6.293 0.000 2.191 6.293 0.000 0.000 0.000 3.198" Properties=species:S:1:pos:R:3 pbc="T T T"
V 0.000 0.000 0.000
V 2.191 4.242 1.599
V 2.191 2.303 0.000
V 2.191 -2.303 0.000
V 2.191 -4.242 1.599
Sn 2.191 0.000 1.599
```

=====

Entry 9:
Entry from the Alexandria database: a relaxed V8Sn crystal (PBE).

Calculated values
Fermi-level density of states: 11.66 states/eV/cell
space group: I4/mmm (139)
calculated total energy: -77.10 eV for the cell shown
density: 6.72 g/cm³

Cell and atoms, written as extended XYZ:
```
9
Lattice="-4.594 4.594 1.540 4.594 -4.594 1.540 4.594 4.594 -1.540" Properties=species:S:1:pos:R:3 pbc="T T T"
V 3.128 0.000 0.000
V 6.059 0.000 0.000
V 2.951 2.951 0.000
V 1.643 -1.643 1.540
V 0.000 3.128 0.000
V 0.000 6.059 0.000
V -1.643 1.643 1.540
V 1.643 1.643 1.540
Sn 0.000 0.000 0.000
```

=====

Entry 10:
Entry from the Alexandria database: a relaxed VSn4 crystal (PBE).

Calculated values
Fermi-level density of states: 4.98 states/eV/cell
space group: Pm-3m (221)
calculated total energy: -23.51 eV for the cell shown
density: 6.24 g/cm³

Cell and atoms, written as extended XYZ:
```
5
Lattice="5.191 0.000 0.000 0.000 5.191 0.000 0.000 0.000 5.191" Properties=species:S:1:pos:R:3 pbc="T T T"
V 0.000 0.000 0.000
Sn 0.000 0.000 2.595
Sn 0.000 2.595 0.000
Sn 2.595 0.000 0.000
Sn 2.595 2.595 2.595
```

=====

Entry 11:
Entry from the Alexandria database: a relaxed V2Sn crystal (PBE).

Calculated values
Fermi-level density of states: 6.56 states/eV/cell
space group: Fd-3m (227)
calculated total energy: -43.70 eV for the cell shown
density: 7.44 g/cm³

Cell and atoms, written as extended XYZ:
```
6
Lattice="0.000 3.665 3.665 3.665 0.000 3.665 3.665 3.665 0.000" Properties=species:S:1:pos:R:3 pbc="T T T"
V 0.000 0.000 0.000
V 1.833 1.833 0.000
V 1.833 0.000 1.833
V 0.000 1.833 1.833
Sn 2.749 2.749 2.749
Sn 4.582 4.582 4.582
```

=====

Entry 12:
Entry from the Alexandria database: a relaxed V5Sn crystal (PBE).

Calculated values
Fermi-level density of states: 8.04 states/eV/cell
space group: Cmmm (65)
calculated total energy: -49.64 eV for the cell shown
density: 6.99 g/cm³

Cell and atoms, written as extended XYZ:
```
6
Lattice="2.196 -4.594 0.000 2.196 4.594 0.000 0.000 0.000 4.395" Properties=species:S:1:pos:R:3 pbc="T T T"
V 0.000 0.000 0.000
V 2.196 2.964 2.197
V 2.196 1.678 0.000
V 2.196 -1.678 0.000
V 2.196 -2.964 2.197
Sn 2.196 0.000 2.197
```